1.
# MnTl2CdBr6 (PBE, relaxed)
data_MnTl2CdBr6
_cell_length_a 7.567
_cell_length_b 7.568
_cell_length_c 7.592
_cell_angle_alpha 60.99
_cell_angle_beta 61.21
_cell_angle_gamma 61.21
_symmetry_space_group_name_H-M 'P -1'
_symmetry_Int_Tables_number 2
_symmetry_space_group_name_Hall '-P 1'
loop_
_atom_site_label
_atom_site_fract_x
_atom_site_fract_y
_atom_site_fract_z
Mn1 0.000 0.000 0.000
Tl1 0.233 0.237 0.234
Cd1 0.500 0.500 0.500
Br1 0.175 0.755 0.313
Br2 0.238 0.690 0.822
Br3 0.314 0.174 0.765
# uncorrected energy	-3.285	eV/atom
# total magnetic moment	5.00	μB per formula unit

2.
# Mn2TlCdBr8 (PBE, relaxed)
data_Mn2TlCdBr8
_cell_length_a 6.9325
_cell_length_b 6.9325
_cell_length_c 9.5365
_cell_angle_alpha 90.00
_cell_angle_beta 90.00
_cell_angle_gamma 120.00
_symmetry_space_group_name_H-M 'P -3'
_symmetry_Int_Tables_number 147
_symmetry_space_group_name_Hall '-P 3'
loop_
_atom_site_label
_atom_site_fract_x
_atom_site_fract_y
_atom_site_fract_z
Mn1 0.3333 0.6667 0.2422
Tl1 0.0000 0.0000 0.5000
Cd1 0.0000 0.0000 0.0000
Br1 0.0068 0.6809 0.8214
Br2 0.3333 0.6667 0.4918
# uncorrected energy	-3.623	eV/atom
# total magnetic moment	9.00	μB per formula unit

3.
# YMn2CdBr (PBE, relaxed)
data_YMn2CdBr
_cell_length_a 5.483
_cell_length_b 5.483
_cell_length_c 6.025
_cell_angle_alpha 90.00
_cell_angle_beta 90.00
_cell_angle_gamma 90.00
_symmetry_space_group_name_H-M 'P 4/m m m'
_symmetry_Int_Tables_number 123
_symmetry_space_group_name_Hall '-P 4 2'
loop_
_atom_site_label
_atom_site_fract_x
_atom_site_fract_y
_atom_site_fract_z
Y1 0.000 0.000 0.000
Mn1 0.000 0.500 0.000
Cd1 0.000 0.000 0.500
Br1 0.500 0.500 0.500
# uncorrected energy	-4.332	eV/atom
# total magnetic moment	8.02	μB per formula unit

4.
# Mn2ZnCdBr (PBE, relaxed)
data_Mn2ZnCdBr
_cell_length_a 4.642
_cell_length_b 4.642
_cell_length_c 5.378
_cell_angle_alpha 90.00
_cell_angle_beta 90.00
_cell_angle_gamma 90.00
_symmetry_space_group_name_H-M 'P 4/m m m'
_symmetry_Int_Tables_number 123
_symmetry_space_group_name_Hall '-P 4 2'
loop_
_atom_site_label
_atom_site_fract_x
_atom_site_fract_y
_atom_site_fract_z
Mn1 0.000 0.500 0.000
Zn1 0.000 0.000 0.500
Cd1 0.500 0.500 0.500
Br1 0.000 0.000 0.000
# uncorrected energy	-3.562	eV/atom
# total magnetic moment	7.17	μB per formula unit

5.
# CdMo2Br (PBE, relaxed)
data_CdMo2Br
_cell_length_a 3.944
_cell_length_b 3.944
_cell_length_c 9.688
_cell_angle_alpha 90.00
_cell_angle_beta 90.00
_cell_angle_gamma 90.00
_symmetry_space_group_name_H-M 'I 4/m m m'
_symmetry_Int_Tables_number 139
_symmetry_space_group_name_Hall '-I 4 2'
loop_
_atom_site_label
_atom_site_fract_x
_atom_site_fract_y
_atom_site_fract_z
Cd1 0.000 0.000 0.000
Mo1 0.000 0.500 0.250
Br1 0.000 0.000 0.500
# uncorrected energy	-4.951	eV/atom
# total magnetic moment	0.00	μB per formula unit

6.
# CdMo2Br (PBE, relaxed)
data_CdMo2Br
_cell_length_a 12.513
_cell_length_b 3.199
_cell_length_c 5.005
_cell_angle_alpha 90.00
_cell_angle_beta 103.35
_cell_angle_gamma 90.00
_symmetry_space_group_name_H-M 'C 1 m 1'
_symmetry_Int_Tables_number 8
_symmetry_space_group_name_Hall 'C -2y'
loop_
_atom_site_label
_atom_site_fract_x
_atom_site_fract_y
_atom_site_fract_z
Cd1 0.000 0.000 0.000
Mo1 0.021 0.500 0.511
Mo2 0.376 0.500 0.426
Br1 0.232 0.000 0.651
# uncorrected energy	-5.511	eV/atom
# total magnetic moment	0.00	μB per formula unit

Uncorrected formation energy readings, ordered: -77.11; -68.11; 110.57; 84.73; 107.25; 53.19 kJ/mol of atoms